Arrangement i

The following is a DFT calculation (GGA-PBE) of a relaxed structure of SrRuBr2.

The structure in POSCAR format:
```
SrRuBr2
1.0
5.767 -1.910 0.000
5.767 1.910 0.000
-0.230 0.000 5.279
Sr Ru Br
1 1 2
direct
0.000 0.000 0.000
0.696 0.696 0.808
0.273 0.273 0.049
0.520 0.520 0.500
```

Computed properties:
The crystal system is monoclinic.



Arrangement ii

The following is a DFT calculation (GGA-PBE) of a relaxed structure of SrRuBr2.

The structure in POSCAR format:
```
SrRuBr2
1.0
3.965 -2.272 0.000
3.965 2.272 0.000
-2.635 0.000 5.460
Sr Ru Br
1 1 2
direct
0.000 0.000 0.000
0.500 0.500 0.500
0.233 0.233 0.702
0.767 0.767 0.298
```

Computed properties:
The crystal system is monoclinic.



Relative energies with respect to the most stable structure, expressed in kJ/mol of atoms: arrangement i 0.0; arrangement ii 0.7.



Arrangement i

The following is a DFT calculation (GGA-PBE) of a relaxed structure of SrRuBr2.

The structure in POSCAR format:
```
SrRuBr2
1.0
-2.103 2.103 5.909
2.103 -2.103 5.909
2.103 2.103 -5.909
Sr Ru Br
1 1 2
direct
0.000 0.000 0.000
0.750 0.250 0.500
0.250 0.750 0.500
0.500 0.500 0.000
```

Computed properties:
The crystal system is tetragonal.



Arrangement ii

The following is a DFT calculation (GGA-PBE) of a relaxed structure of SrRuBr2.

The structure in POSCAR format:
```
SrRuBr2
1.0
2.323 1.341 7.893
-2.323 1.341 7.893
0.000 -2.682 7.893
Sr Ru Br
1 1 2
direct
0.000 0.000 0.000
0.500 0.500 0.500
0.396 0.396 0.396
0.604 0.604 0.604
```

Computed properties:
The crystal system is trigonal.



Relative energies with respect to the most stable structure, expressed in kJ/mol of atoms: arrangement i 4.8; arrangement ii 0.0.



Arrangement i

The following is a DFT calculation (GGA-PBE) of a relaxed structure of SrRuBr2.

The structure in POSCAR format:
```
SrRuBr2
1.0
2.086 1.204 8.042
-2.086 1.204 8.042
0.000 -2.409 8.042
Sr Ru Br
1 1 2
direct
0.000 0.000 0.000
0.240 0.240 0.240
0.555 0.555 0.555
0.743 0.743 0.743
```

Computed properties:
The crystal system is trigonal.



Arrangement ii

The following is a DFT calculation (GGA-PBE) of a relaxed structure of SrRuBr2.

The structure in POSCAR format:
```
SrRuBr2
1.0
0.000 3.761 3.761
3.761 0.000 3.761
3.761 3.761 0.000
Sr Ru Br
1 1 2
direct
0.000 0.000 0.000
0.750 0.750 0.750
0.250 0.250 0.250
0.500 0.500 0.500
```

Computed properties:
The crystal system is cubic.



Relative energies with respect to the most stable structure, expressed in kJ/mol of atoms: arrangement i 0.0; arrangement ii 54.0.



Arrangement i

The following is a DFT calculation (GGA-PBE) of a relaxed structure of SrRuBr2.

The structure in POSCAR format:
```
SrRuBr2
1.0
2.011 1.161 8.638
-2.011 1.161 8.638
0.000 -2.322 8.638
Sr Ru Br
1 1 2
direct
0.000 0.000 0.000
0.500 0.500 0.500
0.120 0.120 0.120
0.880 0.880 0.880
```

Computed properties:
The crystal system is trigonal.



Arrangement ii

The following is a DFT calculation (GGA-PBE) of a relaxed structure of SrRuBr2.

The structure in POSCAR format:
```
SrRuBr2
1.0
3.807 0.000 0.000
0.000 3.820 0.000
0.000 0.000 6.880
Sr Ru Br
1 1 2
direct
0.000 0.000 0.000
0.000 0.000 0.500
0.500 0.500 0.256
0.500 0.500 0.744
```

Computed properties:
The crystal system is orthorhombic.



Relative energies with respect to the most stable structure, expressed in kJ/mol of atoms: arrangement i 6.7; arrangement ii 0.0.



Arrangement i

The following is a DFT calculation (GGA-PBE) of a relaxed structure of SrRu3Br.

The structure in POSCAR format:
```
SrRu3Br
1.0
4.676 0.000 0.000
0.000 4.676 0.000
0.000 0.000 4.676
Sr Ru Br
1 3 1
direct
0.000 0.000 0.000
0.000 0.500 0.500
0.500 0.000 0.500
0.500 0.500 0.000
0.500 0.500 0.500
```

Computed properties:
The crystal system is cubic.



Arrangement ii

The following is a DFT calculation (GGA-PBE) of a relaxed structure of SrRu3Br.

The structure in POSCAR format:
```
SrRu3Br
1.0
5.118 0.000 0.000
0.000 5.118 0.000
0.000 0.000 5.118
Sr Ru Br
1 3 1
direct
0.000 0.000 0.000
0.000 0.000 0.500
0.000 0.500 0.000
0.500 0.000 0.000
0.500 0.500 0.500
```

Computed properties:
The crystal system is cubic.



Relative energies with respect to the most stable structure, expressed in kJ/mol of atoms: arrangement i 0.0; arrangement ii 145.7.



Arrangement i

The following is a DFT calculation (GGA-PBE) of a relaxed structure of SrTiRuBr2.

The structure in POSCAR format:
```
SrTiRuBr2
1.0
5.587 0.000 0.000
0.000 5.587 0.000
0.000 0.000 7.788
Sr Ti Ru Br
1 1 1 2
direct
0.000 0.000 0.000
0.000 0.000 0.500
0.500 0.500 0.500
0.000 0.500 0.000
0.500 0.000 0.000
```

Computed properties:
The crystal system is tetragonal.



Arrangement ii

The following is a DFT calculation (GGA-PBE) of a relaxed structure of SrTiRuBr2.

The structure in POSCAR format:
```
SrTiRuBr2
1.0
5.178 0.000 0.000
0.000 5.178 0.000
0.000 0.000 4.664
Sr Ti Ru Br
1 1 1 2
direct
0.000 0.000 0.000
0.500 0.500 0.500
0.500 0.500 0.000
0.000 0.500 0.500
0.500 0.000 0.500
```

Computed properties:
The crystal system is tetragonal.



Relative energies with respect to the most stable structure, expressed in kJ/mol of atoms: arrangement i 126.0; arrangement ii 0.0.



Arrangement i

The following is a DFT calculation (GGA-PBE) of a relaxed structure of Ta2RuBr.

The structure in POSCAR format:
```
Ta2RuBr
1.0
1.577 0.910 8.943
-1.577 0.910 8.943
0.000 -1.821 8.943
Ta Ru Br
2 1 1
direct
0.000 0.000 0.000
0.244 0.244 0.244
0.512 0.512 0.512
0.739 0.739 0.739
```

Computed properties:
The crystal system is trigonal.



Arrangement ii

The following is a DFT calculation (GGA-PBE) of a relaxed structure of Ta2RuBr.

The structure in POSCAR format:
```
Ta2RuBr
1.0
2.999 0.000 0.000
0.000 4.124 0.000
-1.328 0.000 5.628
Ta Ru Br
2 1 1
direct
0.008 0.000 0.229
0.992 0.000 0.771
0.500 0.500 0.000
0.500 0.500 0.500
```

Computed properties:
The crystal system is monoclinic.



Relative energies with respect to the most stable structure, expressed in kJ/mol of atoms: arrangement i 0.0; arrangement ii 27.8.



Arrangement i

The following is a DFT calculation (GGA-PBE) of a relaxed structure of Ta2RuBr.

The structure in POSCAR format:
```
Ta2RuBr
1.0
3.152 0.000 0.000
0.000 4.588 0.000
0.000 0.000 4.753
Ta Ru Br
2 1 1
direct
0.000 0.000 0.000
0.500 0.000 0.500
0.000 0.500 0.500
0.500 0.500 0.000
```

Computed properties:
The crystal system is orthorhombic.



Arrangement ii

The following is a DFT calculation (GGA-PBE) of a relaxed structure of Ta2RuBr.

The structure in POSCAR format:
```
Ta2RuBr
1.0
3.177 0.000 0.000
0.000 3.177 0.000
0.000 0.000 7.376
Ta Ru Br
2 1 1
direct
0.000 0.000 0.000
0.500 0.500 0.255
0.500 0.500 0.822
0.000 0.000 0.502
```

Computed properties:
The crystal system is tetragonal.



Relative energies with respect to the most stable structure, expressed in kJ/mol of atoms: arrangement i 45.0; arrangement ii 0.0.



Arrangement i

The following is a DFT calculation (GGA-PBE) of a relaxed structure of Ta2RuBr.

The structure in POSCAR format:
```
Ta2RuBr
1.0
4.772 0.000 0.000
0.000 4.772 0.000
0.000 0.000 2.970
Ta Ru Br
2 1 1
direct
0.000 0.500 0.000
0.500 0.000 0.000
0.000 0.000 0.500
0.500 0.500 0.500
```

Computed properties:
The crystal system is tetragonal.



Arrangement ii

The following is a DFT calculation (GGA-PBE) of a relaxed structure of Ta2RuBr.

The structure in POSCAR format:
```
Ta2RuBr
1.0
3.927 0.000 0.000
0.000 3.927 0.000
0.000 0.000 4.548
Ta Ru Br
2 1 1
direct
0.000 0.500 0.000
0.500 0.000 0.000
0.000 0.000 0.500
0.500 0.500 0.500
```

Computed properties:
The crystal system is tetragonal.



Relative energies with respect to the most stable structure, expressed in kJ/mol of atoms: arrangement i 0.0; arrangement ii 35.2.



Arrangement i

The following is a DFT calculation (GGA-PBE) of a relaxed structure of Ta2RuBr.

The structure in POSCAR format:
```
Ta2RuBr
1.0
-1.528 2.347 4.764
1.528 -2.347 4.764
1.528 2.347 -4.764
Ta Ru Br
2 1 1
direct
0.000 0.000 0.000
0.715 0.215 0.500
0.479 0.479 0.000
0.236 0.736 0.500
```

Computed properties:
The crystal system is orthorhombic.



Arrangement ii

The following is a DFT calculation (GGA-PBE) of a relaxed structure of Ta2RuBr.

The structure in POSCAR format:
```
Ta2RuBr
1.0
1.525 0.881 8.756
-1.525 0.881 8.756
0.000 -1.761 8.756
Ta Ru Br
2 1 1
direct
0.245 0.245 0.245
0.755 0.755 0.755
0.500 0.500 0.500
0.000 0.000 0.000
```

Computed properties:
The crystal system is trigonal.



Relative energies with respect to the most stable structure, expressed in kJ/mol of atoms: arrangement i 14.7; arrangement ii 0.0.



Arrangement i

The following is a DFT calculation (GGA-PBE) of a relaxed structure of Ta2RuBr.

The structure in POSCAR format:
```
Ta2RuBr
1.0
-3.566 3.566 2.934
3.566 -3.566 2.934
3.566 3.566 -2.934
Ta Ru Br
4 2 2
direct
0.112 0.625 0.987
0.375 0.362 0.487
0.638 0.125 0.013
0.875 0.888 0.513
0.000 0.000 0.000
0.750 0.250 0.500
0.250 0.750 0.500
0.500 0.500 0.000
```

Computed properties:
The crystal system is tetragonal.



Arrangement ii

The following is a DFT calculation (GGA-PBE) of a relaxed structure of Ta2RuBr.

The structure in POSCAR format:
```
Ta2RuBr
1.0
0.000 3.246 3.246
3.246 0.000 3.246
3.246 3.246 0.000
Ta Ru Br
2 1 1
direct
0.250 0.250 0.250
0.750 0.750 0.750
0.000 0.000 0.000
0.500 0.500 0.500
```

Computed properties:
The crystal system is cubic.



Arrangement iii

The following is a DFT calculation (GGA-PBE) of a relaxed structure of Ta2RuBr.

The structure in POSCAR format:
```
Ta2RuBr
1.0
4.679 -1.533 0.000
4.679 1.533 0.000
-1.243 0.000 4.797
Ta Ru Br
2 1 1
direct
0.000 0.000 0.000
0.226 0.226 0.619
0.731 0.731 0.123
0.484 0.484 0.482
```

Computed properties:
The crystal system is monoclinic.



Arrangement iv

The following is a DFT calculation (GGA-PBE) of a relaxed structure of Ta2RuBr.

The structure in POSCAR format:
```
Ta2RuBr
1.0
0.000 3.272 3.272
3.272 0.000 3.272
3.272 3.272 0.000
Ta Ru Br
2 1 1
direct
0.000 0.000 0.000
0.250 0.250 0.250
0.750 0.750 0.750
0.500 0.500 0.500
```

Computed properties:
The crystal system is cubic.



Relative energies with respect to the most stable structure, expressed in kJ/mol of atoms: arrangement i 33.6; arrangement ii 18.7; arrangement iii 0.0; arrangement iv 47.6.



Arrangement i

The following is a DFT calculation (GGA-PBE) of a relaxed structure of Ta2RuBr.

The structure in POSCAR format:
```
Ta2RuBr
1.0
2.880 -4.091 0.000
2.880 4.091 0.000
-0.759 0.000 2.918
Ta Ru Br
2 1 1
direct
0.000 0.500 0.000
0.500 0.000 0.000
0.000 0.000 0.500
0.500 0.500 0.500
```

Computed properties:
The crystal system is monoclinic.



Arrangement ii

The following is a DFT calculation (GGA-PBE) of a relaxed structure of Ta2RuBr.

The structure in POSCAR format:
```
Ta2RuBr
1.0
-2.481 2.481 2.789
2.481 -2.481 2.789
2.481 2.481 -2.789
Ta Ru Br
2 1 1
direct
0.250 0.750 0.500
0.750 0.250 0.500
0.000 0.000 0.000
0.500 0.500 0.000
```

Computed properties:
The crystal system is tetragonal.



Arrangement iii

The following is a DFT calculation (GGA-PBE) of a relaxed structure of Ta2RuBr.

The structure in POSCAR format:
```
Ta2RuBr
1.0
3.204 0.000 0.000
0.000 3.179 0.000
-0.049 0.000 7.821
Ta Ru Br
2 1 1
direct
0.000 0.000 0.000
0.496 0.500 0.768
0.503 0.500 0.169
0.486 0.000 0.493
```

Computed properties:
The crystal system is monoclinic.



Arrangement iv

The following is a DFT calculation (GGA-PBE) of a relaxed structure of Ta2RuBr.

The structure in POSCAR format:
```
Ta2RuBr
1.0
-1.587 2.307 4.649
1.587 -2.307 4.649
1.587 2.307 -4.649
Ta Ru Br
2 1 1
direct
0.247 0.247 0.000
0.753 0.753 0.000
0.500 0.000 0.500
0.000 0.500 0.500
```

Computed properties:
The crystal system is orthorhombic.



Relative energies with respect to the most stable structure, expressed in kJ/mol of atoms: arrangement i 45.0; arrangement ii 46.2; arrangement iii 0.0; arrangement iv 49.0.



Arrangement i

The following is a DFT calculation (GGA-PBE) of a relaxed structure of TaRu2Br.

The structure in POSCAR format:
```
TaRu2Br
1.0
-1.908 1.908 4.441
1.908 -1.908 4.441
1.908 1.908 -4.441
Ta Ru Br
1 2 1
direct
0.000 0.000 0.000
0.500 0.500 0.000
0.750 0.250 0.500
0.250 0.750 0.500
```

Computed properties:
The crystal system is tetragonal.



Arrangement ii

The following is a DFT calculation (GGA-PBE) of a relaxed structure of TaRu2Br.

The structure in POSCAR format:
```
TaRu2Br
1.0
3.017 -3.516 0.000
3.017 3.516 0.000
0.000 0.000 3.058
Ta Ru Br
1 2 1
direct
0.000 0.000 0.000
0.000 0.500 0.500
0.500 0.000 0.500
0.500 0.500 0.000
```

Computed properties:
The crystal system is orthorhombic.



Relative energies with respect to the most stable structure, expressed in kJ/mol of atoms: arrangement i 11.4; arrangement ii 0.0.